Entry from the Alexandria database: crystalline PmSc3Tl at its relaxed geometry (PBE).

The density of states at the Fermi level is 7.17 states/eV/f.u. The formation energy from the elements comes out at 124.6 meV/atom. The energy above the most stable polymorph in this dataset comes out at 193 meV per atom. Its total magnetization is 0.00 μB/f.u. The mass density is 5.6 g cm⁻³.

The structure belongs to space group P6_3/mmc (No. 194); the cell edges are 7.4551, 7.4551 and 5.9586 Å and the angles 90.00°, 90.00° and 120.00°. The distinct sites, in fractional coordinates, are Pm at (0.3333, 0.6667, 0.2500), Sc at (0.1965, 0.3929, 0.7500) and Tl at (0.0000, 0.0000, 0.0000).